Entry 1:
NdEr3Co: optimized geometry, PBE.

Calculated values
The space-group type is No. 14. Its energy relative to the elements is -35 meV/atom. The calculation puts the polymorph energy (0 for the lowest one) at 0.016 eV/atom. As for the crystal system: monoclinic. The density of states at the Fermi level is 23.1 states/eV/cell.

a = 7.8033 Å, b = 7.3478 Å, c = 9.8683 Å
α = 90.00°, β = 107.27°, γ = 90.00°
Last column: nearest neighbours and their distance in Å.
Fractional positions:
Nd 0.1794 0.0592 0.2523  1 Co 3.16, 6 Er 3.28-3.53
Nd 0.1794 0.4408 0.7523  1 Co 3.16, 6 Er 3.28-3.53
Nd 0.8206 0.5592 0.2477  1 Co 3.16, 6 Er 3.28-3.53
Nd 0.8206 0.9408 0.7477  1 Co 3.16, 6 Er 3.28-3.53
Er 0.0927 0.6977 0.0378  1 Co 2.70
Er 0.0927 0.8023 0.5378  1 Co 2.70
Er 0.2940 0.5055 0.3884  2 Co 2.71-2.76
Er 0.2940 0.9945 0.8884  2 Co 2.71-2.76
Er 0.4249 0.1283 0.6118  3 Co 2.75-2.82
Er 0.4249 0.3717 0.1118  3 Co 2.75-2.82
Er 0.5751 0.6283 0.8882  3 Co 2.75-2.82
Er 0.5751 0.8717 0.3882  3 Co 2.75-2.82
Er 0.7060 0.0055 0.1116  2 Co 2.71-2.76
Er 0.7060 0.4945 0.6116  2 Co 2.71-2.76
Er 0.9073 0.1977 0.4622  1 Co 2.70
Er 0.9073 0.3023 0.9622  1 Co 2.70
Co 0.4504 0.7467 0.6039  6 Er 2.70-2.82
Co 0.4504 0.7533 0.1039  6 Er 2.70-2.82
Co 0.5496 0.2467 0.8961  6 Er 2.70-2.82
Co 0.5496 0.2533 0.3961  6 Er 2.70-2.82

=====

Entry 2:
Cs2Tl3CdBi4: optimized geometry, PBE.

Calculated values
The space-group type is No. 115. Its energy relative to the elements is -184 meV/atom. As for the crystal system: tetragonal. The density of states at the Fermi level is 2.8 states/eV/cell.

a = 5.1874 Å, b = 5.1874 Å, c = 14.4052 Å
α = 90.00°, β = 90.00°, γ = 90.00°
Last column: nearest neighbours and their distance in Å.
Fractional positions:
Cs 0.0000 0.5000 0.2434  6 Tl 4.02-4.36, 4 Bi 4.05, 2 Cd 4.36
Cs 0.5000 0.0000 0.7566  6 Tl 4.02-4.36, 4 Bi 4.05, 2 Cd 4.36
Tl 0.0000 0.0000 0.0000  4 Bi 3.15
Tl 0.0000 0.5000 0.6425  5 Bi 3.31-3.37
Tl 0.5000 0.0000 0.3575  5 Bi 3.31-3.37
Cd 0.5000 0.5000 0.0000  4 Bi 3.15
Bi 0.0000 0.0000 0.5000  4 Tl 3.31, 4 Bi 3.67
Bi 0.0000 0.5000 0.8763  2 Cd 3.15, 3 Tl 3.15-3.37
Bi 0.5000 0.0000 0.1237  2 Cd 3.15, 3 Tl 3.15-3.37
Bi 0.5000 0.5000 0.5000  4 Tl 3.31, 4 Bi 3.67

=====

Entry 3:
SiMoPb2: optimized geometry, PBE.

Calculated values
The space-group type is No. 10. As for the crystal system: monoclinic. As for the energy relative to the elements, uncorrected: 3.17 eV per formula unit. The density of states at the Fermi level is 3.9 states/eV/cell.

a = 3.7691 Å, b = 3.7932 Å, c = 6.0125 Å
α = 90.00°, β = 93.99°, γ = 90.00°
Last column: nearest neighbours and their distance in Å.
Fractional positions:
Si 0.0000 0.0000 0.0000  8 Pb 2.97-3.18, 2 Mo 3.01
Mo 0.0000 0.0000 0.5000  2 Si 3.01, 8 Pb 3.03-3.09
Pb 0.4838 0.5000 0.2520  4 Si 2.97-3.18, 2 Pb 2.98-3.04, 4 Mo 3.03-3.09
Pb 0.5162 0.5000 0.7480  4 Si 2.97-3.18, 2 Pb 2.98-3.04, 4 Mo 3.03-3.09

=====

Entry 4:
NiTe2PtN: optimized geometry, PBE.

Calculated values
The space-group type is No. 123. The calculation puts the polymorph energy (0 for the lowest one) at 0.309 eV/atom. As for the crystal system: tetragonal. As for the energy relative to the elements, uncorrected: 3.87 eV per formula unit. The density of states at the Fermi level is 3.2 states/eV/cell.

a = 5.5115 Å, b = 5.5115 Å, c = 3.6330 Å
α = 90.00°, β = 90.00°, γ = 90.00°
Last column: nearest neighbours and their distance in Å.
Fractional positions:
Ni 0.0000 0.0000 0.0000  8 Te 3.30, 2 Ni 3.63
Te 0.0000 0.5000 0.5000  2 Pt 2.76
Te 0.5000 0.0000 0.5000  2 Pt 2.76
Pt 0.5000 0.5000 0.5000  2 N 1.82
N 0.5000 0.5000 0.0000  2 Pt 1.82

=====

Entry 5:
ZrSc4Ag: optimized geometry, PBE.

Calculated values
The space-group type is No. 216. Its energy relative to the elements is 334 meV/atom. The calculation puts the polymorph energy (0 for the lowest one) at 0.394 eV/atom. As for the crystal system: cubic. The density of states at the Fermi level is 8.5 states/eV/cell.

a = 5.8194 Å, b = 5.8194 Å, c = 5.8194 Å
α = 60.00°, β = 60.00°, γ = 60.00°
Last column: nearest neighbours and their distance in Å.
Fractional positions:
Zr 0.0000 0.0000 0.0000  12 Sc 3.41, 4 Ag 3.56
Sc 0.3738 0.3738 0.3738  6 Sc 2.88-2.94
Sc 0.3738 0.3738 0.8785  6 Sc 2.88-2.94
Sc 0.3738 0.8785 0.3738  6 Sc 2.88-2.94
Sc 0.8785 0.3738 0.3738  6 Sc 2.88-2.94
Ag 0.7500 0.7500 0.7500  12 Sc 3.41, 4 Zr 3.56

=====

Entry 6:
Ba3Pm3TmSe8: optimized geometry, PBE.

Calculated values
The space-group type is No. 166. As for the crystal system: trigonal. As for the energy relative to the elements, uncorrected: -29.03 eV per formula unit. The density of states at the Fermi level is 3.6 states/eV/cell.

a = 9.0377 Å, b = 9.0377 Å, c = 9.0377 Å
α = 56.62°, β = 56.62°, γ = 56.62°
Last column: nearest neighbours and their distance in Å.
Fractional positions:
Ba 0.0000 0.5000 0.5000  6 Se 3.25-3.27
Ba 0.5000 0.0000 0.5000  6 Se 3.25-3.27
Ba 0.5000 0.5000 0.0000  6 Se 3.25-3.27
Pm 0.0000 0.0000 0.5000  6 Se 2.98-2.99
Pm 0.0000 0.5000 0.0000  6 Se 2.98-2.99
Pm 0.5000 0.0000 0.0000  6 Se 2.98-2.99
Tm 0.5000 0.5000 0.5000  6 Se 2.89
Se 0.2404 0.2404 0.2404  3 Pm 2.99, 3 Ba 3.25
Se 0.2467 0.7328 0.7328  1 Tm 2.89, 2 Pm 2.98
Se 0.2672 0.2672 0.7533  1 Tm 2.89, 2 Pm 2.98
Se 0.2672 0.7533 0.2672  1 Tm 2.89, 2 Pm 2.98
Se 0.7328 0.2467 0.7328  1 Tm 2.89, 2 Pm 2.98
Se 0.7328 0.7328 0.2467  1 Tm 2.89, 2 Pm 2.98
Se 0.7533 0.2672 0.2672  1 Tm 2.89, 2 Pm 2.98
Se 0.7596 0.7596 0.7596  3 Pm 2.99, 3 Ba 3.25

=====

Entry 7:
CsIn2RhAu: optimized geometry, PBE.

Calculated values
The space-group type is No. 123. Its energy relative to the elements is -139 meV/atom. As for the crystal system: tetragonal. The density of states at the Fermi level is 2.4 states/eV/cell.

a = 5.1735 Å, b = 5.1735 Å, c = 5.4035 Å
α = 90.00°, β = 90.00°, γ = 90.00°
Last column: nearest neighbours and their distance in Å.
Fractional positions:
Cs 0.0000 0.0000 0.0000  4 Au 3.66, 8 In 3.74
In 0.0000 0.5000 0.5000  2 Rh 2.59
In 0.5000 0.0000 0.5000  2 Rh 2.59
Rh 0.5000 0.5000 0.5000  4 In 2.59, 2 Au 2.70
Au 0.5000 0.5000 0.0000  2 Rh 2.70

=====

Entry 8:
Cs2NbCdSe4: optimized geometry, PBE.

Calculated values
The space-group type is No. 70. As for the crystal system: orthorhombic. As for the energy relative to the elements, uncorrected: -7.20 eV per formula unit. The density of states at the Fermi level is 5.8 states/eV/cell.

a = 14.7032 Å, b = 13.2307 Å, c = 8.0286 Å
α = 83.70°, β = 63.43°, γ = 32.87°
Last column: nearest neighbours and their distance in Å.
Fractional positions:
Cs 0.0530 0.0530 0.6970  8 Se 3.92-4.28
Cs 0.3030 0.3030 0.9470  8 Se 3.92-4.28
Cs 0.6970 0.6970 0.0530  8 Se 3.92-4.28
Cs 0.9470 0.9470 0.3030  8 Se 3.92-4.28
Nb 0.3750 0.3750 0.3750  4 Se 2.46
Nb 0.6250 0.6250 0.6250  4 Se 2.46
Cd 0.1250 0.1250 0.1250  4 Se 2.71
Cd 0.8750 0.8750 0.8750  4 Se 2.71
Se 0.0044 0.6393 0.5549  1 Nb 2.46, 1 Cd 2.71
Se 0.3014 0.5549 0.6393  1 Nb 2.46, 1 Cd 2.71
Se 0.3607 0.9956 0.6986  1 Nb 2.46, 1 Cd 2.71
Se 0.4451 0.6986 0.9956  1 Nb 2.46, 1 Cd 2.71
Se 0.5549 0.3014 0.0044  1 Nb 2.46, 1 Cd 2.71
Se 0.6393 0.0044 0.3014  1 Nb 2.46, 1 Cd 2.71
Se 0.6986 0.4451 0.3607  1 Nb 2.46, 1 Cd 2.71
Se 0.9956 0.3607 0.4451  1 Nb 2.46, 1 Cd 2.71